(P)
# VRe2Br PBE relaxed
# - D(E_F): 0.870 states/eV per atom
# - Symmetry: I-42d (122)
data_VRe2Br
_space_group_name_H-M_alt 'P 1'
_space_group_IT_number 1
_cell_length_a 10.472
_cell_length_b 10.472
_cell_length_c 10.472
_cell_angle_alpha 159.34
_cell_angle_beta 159.34
_cell_angle_gamma 29.38
loop_
_space_group_symop_operation_xyz
'x,y,z'
loop_
_atom_site_label
_atom_site_fract_x
_atom_site_fract_y
_atom_site_fract_z
V1 0.000 0.000 0.000
V2 0.750 0.250 0.500
Re1 0.076 0.625 0.951
Re2 0.375 0.326 0.451
Re3 0.674 0.125 0.049
Re4 0.875 0.924 0.549
Br1 0.250 0.750 0.500
Br2 0.500 0.500 0.000

(Q)
# VRe2Br PBE relaxed
# - D(E_F): 1.014 states/eV per atom
# - Symmetry: Fm-3m (225)
data_VRe2Br
_space_group_name_H-M_alt 'P 1'
_space_group_IT_number 1
_cell_length_a 4.418
_cell_length_b 4.418
_cell_length_c 4.418
_cell_angle_alpha 60.00
_cell_angle_beta 60.00
_cell_angle_gamma 60.00
loop_
_space_group_symop_operation_xyz
'x,y,z'
loop_
_atom_site_label
_atom_site_fract_x
_atom_site_fract_y
_atom_site_fract_z
V1 0.000 0.000 0.000
Re1 0.250 0.250 0.250
Re2 0.750 0.750 0.750
Br1 0.500 0.500 0.500

Which structure is most stable? (P), by 22 meV/atom over the runner-up.

(P)
# V3ReBr PBE relaxed
# - D(E_F): 1.416 states/eV per atom
# - Symmetry: Pm-3m (221)
data_V3ReBr
_space_group_name_H-M_alt 'P 1'
_space_group_IT_number 1
_cell_length_a 4.378
_cell_length_b 4.378
_cell_length_c 4.378
_cell_angle_alpha 90.00
_cell_angle_beta 90.00
_cell_angle_gamma 90.00
loop_
_space_group_symop_operation_xyz
'x,y,z'
loop_
_atom_site_label
_atom_site_fract_x
_atom_site_fract_y
_atom_site_fract_z
V1 0.000 0.000 0.500
V2 0.000 0.500 0.000
V3 0.500 0.000 0.000
Re1 0.500 0.500 0.500
Br1 0.000 0.000 0.000

(Q)
# V3ReBr PBE relaxed
# - D(E_F): 1.865 states/eV per atom
# - Symmetry: Pm-3m (221)
data_V3ReBr
_space_group_name_H-M_alt 'P 1'
_space_group_IT_number 1
_cell_length_a 4.776
_cell_length_b 4.776
_cell_length_c 4.776
_cell_angle_alpha 90.00
_cell_angle_beta 90.00
_cell_angle_gamma 90.00
loop_
_space_group_symop_operation_xyz
'x,y,z'
loop_
_atom_site_label
_atom_site_fract_x
_atom_site_fract_y
_atom_site_fract_z
V1 0.000 0.000 0.500
V2 0.000 0.500 0.000
V3 0.500 0.000 0.000
Re1 0.000 0.000 0.000
Br1 0.500 0.500 0.500

Which structure is most stable? (Q), by 111 meV/atom over the runner-up.

(P)
# ReWBr2 PBE relaxed
# - D(E_F): 0.731 states/eV per atom
# - Symmetry: Immm (71)
data_ReWBr2
_space_group_name_H-M_alt 'P 1'
_space_group_IT_number 1
_cell_length_a 7.927
_cell_length_b 7.927
_cell_length_c 7.927
_cell_angle_alpha 157.20
_cell_angle_beta 148.38
_cell_angle_gamma 39.34
loop_
_space_group_symop_operation_xyz
'x,y,z'
loop_
_atom_site_label
_atom_site_fract_x
_atom_site_fract_y
_atom_site_fract_z
Re1 0.000 0.000 0.000
W1 0.500 0.500 0.000
Br1 0.353 0.853 0.500
Br2 0.647 0.147 0.500

(Q)
# ReWBr2 PBE relaxed
# - D(E_F): 0.827 states/eV per atom
# - Symmetry: F-43m (216)
data_ReWBr2
_space_group_name_H-M_alt 'P 1'
_space_group_IT_number 1
_cell_length_a 4.714
_cell_length_b 4.714
_cell_length_c 4.714
_cell_angle_alpha 60.00
_cell_angle_beta 60.00
_cell_angle_gamma 60.00
loop_
_space_group_symop_operation_xyz
'x,y,z'
loop_
_atom_site_label
_atom_site_fract_x
_atom_site_fract_y
_atom_site_fract_z
Re1 0.000 0.000 0.000
W1 0.250 0.250 0.250
Br1 0.500 0.500 0.500
Br2 0.750 0.750 0.750

(R)
# ReWBr2 PBE relaxed
# - D(E_F): 1.071 states/eV per atom
# - Symmetry: Fm-3m (225)
data_ReWBr2
_space_group_name_H-M_alt 'P 1'
_space_group_IT_number 1
_cell_length_a 4.546
_cell_length_b 4.546
_cell_length_c 4.546
_cell_angle_alpha 60.00
_cell_angle_beta 60.00
_cell_angle_gamma 60.00
loop_
_space_group_symop_operation_xyz
'x,y,z'
loop_
_atom_site_label
_atom_site_fract_x
_atom_site_fract_y
_atom_site_fract_z
Re1 0.000 0.000 0.000
W1 0.500 0.500 0.500
Br1 0.250 0.250 0.250
Br2 0.750 0.750 0.750

(S)
# ReWBr2 PBE relaxed
# - D(E_F): 0.962 states/eV per atom
# - Symmetry: Pm (6)
data_ReWBr2
_space_group_name_H-M_alt 'P 1'
_space_group_IT_number 1
_cell_length_a 3.349
_cell_length_b 3.061
_cell_length_c 8.893
_cell_angle_alpha 90.00
_cell_angle_beta 90.10
_cell_angle_gamma 90.00
loop_
_space_group_symop_operation_xyz
'x,y,z'
loop_
_atom_site_label
_atom_site_fract_x
_atom_site_fract_y
_atom_site_fract_z
Re1 0.000 0.000 0.000
W1 0.499 0.500 0.843
Br1 0.001 0.500 0.233
Br2 0.498 0.000 0.610

Which structure is most stable? (S), by 654 meV/atom over the runner-up.

(P)
# ReWBr2 PBE relaxed
# - D(E_F): 1.011 states/eV per atom
# - Symmetry: P2/m (10)
data_ReWBr2
_space_group_name_H-M_alt 'P 1'
_space_group_IT_number 1
_cell_length_a 3.463
_cell_length_b 4.589
_cell_length_c 4.648
_cell_angle_alpha 90.00
_cell_angle_beta 90.23
_cell_angle_gamma 90.00
loop_
_space_group_symop_operation_xyz
'x,y,z'
loop_
_atom_site_label
_atom_site_fract_x
_atom_site_fract_y
_atom_site_fract_z
Re1 0.000 0.000 0.000
W1 0.500 0.000 0.500
Br1 0.254 0.500 0.750
Br2 0.746 0.500 0.250

(Q)
# ReWBr2 PBE relaxed
# - D(E_F): 1.318 states/eV per atom
# - Symmetry: R-3m (166)
data_ReWBr2
_space_group_name_H-M_alt 'P 1'
_space_group_IT_number 1
_cell_length_a 9.040
_cell_length_b 9.040
_cell_length_c 9.040
_cell_angle_alpha 19.55
_cell_angle_beta 19.55
_cell_angle_gamma 19.55
loop_
_space_group_symop_operation_xyz
'x,y,z'
loop_
_atom_site_label
_atom_site_fract_x
_atom_site_fract_y
_atom_site_fract_z
Re1 0.000 0.000 0.000
W1 0.500 0.500 0.500
Br1 0.092 0.092 0.092
Br2 0.908 0.908 0.908

Which structure is most stable? (Q), by 221 meV/atom over the runner-up.

(P)
# ReW3Br PBE relaxed
# - D(E_F): 0.949 states/eV per atom
# - Symmetry: Pm-3m (221)
data_ReW3Br
_space_group_name_H-M_alt 'P 1'
_space_group_IT_number 1
_cell_length_a 4.525
_cell_length_b 4.525
_cell_length_c 4.525
_cell_angle_alpha 90.00
_cell_angle_beta 90.00
_cell_angle_gamma 90.00
loop_
_space_group_symop_operation_xyz
'x,y,z'
loop_
_atom_site_label
_atom_site_fract_x
_atom_site_fract_y
_atom_site_fract_z
Re1 0.000 0.000 0.000
W1 0.000 0.500 0.500
W2 0.500 0.000 0.500
W3 0.500 0.500 0.000
Br1 0.500 0.500 0.500

(Q)
# ReW3Br PBE relaxed
# - D(E_F): 1.355 states/eV per atom
# - Symmetry: Pm-3m (221)
data_ReW3Br
_space_group_name_H-M_alt 'P 1'
_space_group_IT_number 1
_cell_length_a 4.836
_cell_length_b 4.836
_cell_length_c 4.836
_cell_angle_alpha 90.00
_cell_angle_beta 90.00
_cell_angle_gamma 90.00
loop_
_space_group_symop_operation_xyz
'x,y,z'
loop_
_atom_site_label
_atom_site_fract_x
_atom_site_fract_y
_atom_site_fract_z
Re1 0.000 0.000 0.000
W1 0.000 0.000 0.500
W2 0.000 0.500 0.000
W3 0.500 0.000 0.000
Br1 0.500 0.500 0.500

Which structure is most stable? (Q), by 125 meV/atom over the runner-up.

(P)
# Re3WBr PBE relaxed
# - D(E_F): 0.985 states/eV per atom
# - Symmetry: Pm-3m (221)
data_Re3WBr
_space_group_name_H-M_alt 'P 1'
_space_group_IT_number 1
_cell_length_a 4.492
_cell_length_b 4.492
_cell_length_c 4.492
_cell_angle_alpha 90.00
_cell_angle_beta 90.00
_cell_angle_gamma 90.00
loop_
_space_group_symop_operation_xyz
'x,y,z'
loop_
_atom_site_label
_atom_site_fract_x
_atom_site_fract_y
_atom_site_fract_z
Re1 0.000 0.000 0.500
Re2 0.000 0.500 0.000
Re3 0.500 0.000 0.000
W1 0.500 0.500 0.500
Br1 0.000 0.000 0.000

(Q)
# Re3WBr PBE relaxed
# - D(E_F): 1.236 states/eV per atom
# - Symmetry: Pm-3m (221)
data_Re3WBr
_space_group_name_H-M_alt 'P 1'
_space_group_IT_number 1
_cell_length_a 4.834
_cell_length_b 4.834
_cell_length_c 4.834
_cell_angle_alpha 90.00
_cell_angle_beta 90.00
_cell_angle_gamma 90.00
loop_
_space_group_symop_operation_xyz
'x,y,z'
loop_
_atom_site_label
_atom_site_fract_x
_atom_site_fract_y
_atom_site_fract_z
Re1 0.000 0.000 0.500
Re2 0.000 0.500 0.000
Re3 0.500 0.000 0.000
W1 0.000 0.000 0.000
Br1 0.500 0.500 0.500

Which structure is most stable? (P), by 129 meV/atom over the runner-up.

(P)
# YRe2Br PBE relaxed
# - D(E_F): 1.378 states/eV per atom
# - Symmetry: I-42d (122)
data_YRe2Br
_space_group_name_H-M_alt 'P 1'
_space_group_IT_number 1
_cell_length_a 6.218
_cell_length_b 6.218
_cell_length_c 6.218
_cell_angle_alpha 99.95
_cell_angle_beta 99.95
_cell_angle_gamma 130.87
loop_
_space_group_symop_operation_xyz
'x,y,z'
loop_
_atom_site_label
_atom_site_fract_x
_atom_site_fract_y
_atom_site_fract_z
Y1 0.000 0.000 0.000
Y2 0.750 0.250 0.500
Re1 0.166 0.625 0.041
Re2 0.375 0.416 0.541
Re3 0.584 0.125 0.959
Re4 0.875 0.834 0.459
Br1 0.250 0.750 0.500
Br2 0.500 0.500 0.000

(Q)
# YRe2Br PBE relaxed
# - D(E_F): 0.481 states/eV per atom
# - Symmetry: P4mm (99)
data_YRe2Br
_space_group_name_H-M_alt 'P 1'
_space_group_IT_number 1
_cell_length_a 3.208
_cell_length_b 3.208
_cell_length_c 8.859
_cell_angle_alpha 90.00
_cell_angle_beta 90.00
_cell_angle_gamma 90.00
loop_
_space_group_symop_operation_xyz
'x,y,z'
loop_
_atom_site_label
_atom_site_fract_x
_atom_site_fract_y
_atom_site_fract_z
Y1 0.000 0.000 0.000
Re1 0.000 0.000 0.620
Re2 0.500 0.500 0.756
Br1 0.500 0.500 0.219

Which structure is most stable? (Q), by 1109 meV/atom over the runner-up.

(P)
# YRe2Br PBE relaxed
# - D(E_F): 0.710 states/eV per atom
# - Symmetry: Imm2 (44)
data_YRe2Br
_space_group_name_H-M_alt 'P 1'
_space_group_IT_number 1
_cell_length_a 5.572
_cell_length_b 5.572
_cell_length_c 5.572
_cell_angle_alpha 142.10
_cell_angle_beta 122.90
_cell_angle_gamma 70.59
loop_
_space_group_symop_operation_xyz
'x,y,z'
loop_
_atom_site_label
_atom_site_fract_x
_atom_site_fract_y
_atom_site_fract_z
Y1 0.000 0.000 0.000
Re1 0.499 0.499 0.000
Re2 0.668 0.168 0.500
Br1 0.269 0.769 0.500

(Q)
# YRe2Br PBE relaxed
# - D(E_F): 0.917 states/eV per atom
# - Symmetry: Fm-3m (225)
data_YRe2Br
_space_group_name_H-M_alt 'P 1'
_space_group_IT_number 1
_cell_length_a 4.712
_cell_length_b 4.712
_cell_length_c 4.712
_cell_angle_alpha 60.00
_cell_angle_beta 60.00
_cell_angle_gamma 60.00
loop_
_space_group_symop_operation_xyz
'x,y,z'
loop_
_atom_site_label
_atom_site_fract_x
_atom_site_fract_y
_atom_site_fract_z
Y1 0.000 0.000 0.000
Re1 0.250 0.250 0.250
Re2 0.750 0.750 0.750
Br1 0.500 0.500 0.500

(R)
# YRe2Br PBE relaxed
# - D(E_F): 1.293 states/eV per atom
# - Symmetry: P4/mmm (123)
data_YRe2Br
_space_group_name_H-M_alt 'P 1'
_space_group_IT_number 1
_cell_length_a 4.621
_cell_length_b 4.621
_cell_length_c 3.475
_cell_angle_alpha 90.00
_cell_angle_beta 90.00
_cell_angle_gamma 90.00
loop_
_space_group_symop_operation_xyz
'x,y,z'
loop_
_atom_site_label
_atom_site_fract_x
_atom_site_fract_y
_atom_site_fract_z
Y1 0.000 0.000 0.000
Re1 0.000 0.500 0.500
Re2 0.500 0.000 0.500
Br1 0.500 0.500 0.000

(S)
# YRe2Br PBE relaxed
# - D(E_F): 0.601 states/eV per atom
# - Symmetry: C2/m (12)
data_YRe2Br
_space_group_name_H-M_alt 'P 1'
_space_group_IT_number 1
_cell_length_a 6.128
_cell_length_b 6.128
_cell_length_c 3.199
_cell_angle_alpha 105.10
_cell_angle_beta 105.10
_cell_angle_gamma 127.46
loop_
_space_group_symop_operation_xyz
'x,y,z'
loop_
_atom_site_label
_atom_site_fract_x
_atom_site_fract_y
_atom_site_fract_z
Y1 0.000 0.000 0.000
Re1 0.000 0.500 0.000
Re2 0.500 0.000 0.000
Br1 0.500 0.500 0.000

Which structure is most stable? (P), by 35 meV/atom over the runner-up.